[1]
# Ho2Pd7Au2 (GGA-PBE, relaxed)
data_Ho2Pd7Au2
_cell_length_a 9.355
_cell_length_b 9.221
_cell_length_c 5.220
_cell_angle_alpha 90.00
_cell_angle_beta 116.64
_cell_angle_gamma 90.00
_space_group_name_H-M_alt 'C 1 2/m 1'
_space_group_IT_number 12
_space_group_name_Hall '-C 2y'
loop_
_atom_site_label
_atom_site_fract_x
_atom_site_fract_y
_atom_site_fract_z
Ho1 0.000 0.218 0.000
Pd1 0.000 0.000 0.500
Pd2 0.111 0.500 0.363
Pd3 0.171 0.244 0.668
Au1 0.233 0.500 0.967
# Energy of formation from the pure elements in meV/atom: -536
# Magnetization in μB per formula unit: 0.00

=====

[2]
# Nd4GaOsBr2 (GGA-PBE, relaxed)
data_Nd4GaOsBr2
_cell_length_a 7.472
_cell_length_b 4.141
_cell_length_c 8.130
_cell_angle_alpha 90.00
_cell_angle_beta 108.13
_cell_angle_gamma 90.00
_space_group_name_H-M_alt 'P 1 2/m 1'
_space_group_IT_number 10
_space_group_name_Hall '-P 2y'
loop_
_atom_site_label
_atom_site_fract_x
_atom_site_fract_y
_atom_site_fract_z
Nd1 0.230 0.000 0.201
Nd2 0.233 0.500 0.796
Ga1 0.500 0.000 0.000
Os1 0.000 0.500 0.000
Br1 0.000 0.000 0.500
Br2 0.500 0.500 0.500
# Uncorrected formation energy in eV/atom: -0.796
# Magnetization in μB per formula unit: 0.00

=====

[3]
# Rb3HSe (GGA-PBE, relaxed)
data_Rb3HSe
_cell_length_a 7.663
_cell_length_b 16.401
_cell_length_c 5.344
_cell_angle_alpha 90.00
_cell_angle_beta 90.00
_cell_angle_gamma 90.00
_space_group_name_H-M_alt 'C m m m'
_space_group_IT_number 65
_space_group_name_Hall '-C 2 2'
loop_
_atom_site_label
_atom_site_fract_x
_atom_site_fract_y
_atom_site_fract_z
Rb1 0.000 0.145 0.000
Rb2 0.214 0.500 0.500
Rb3 0.250 0.250 0.500
H1 0.000 0.111 0.500
Se1 0.000 0.354 0.000
# Relative energy among the computed polymorphs in meV per atom: 32
# Magnetization in μB per formula unit: 0.00

=====

[4]
# Tl2V2CrTe6 (GGA-PBE, relaxed)
data_Tl2V2CrTe6
_cell_length_a 6.760
_cell_length_b 11.991
_cell_length_c 8.523
_cell_angle_alpha 90.00
_cell_angle_beta 107.42
_cell_angle_gamma 90.00
_space_group_name_H-M_alt 'C 1 2/m 1'
_space_group_IT_number 12
_space_group_name_Hall '-C 2y'
loop_
_atom_site_label
_atom_site_fract_x
_atom_site_fract_y
_atom_site_fract_z
Tl1 0.000 0.157 0.000
V1 0.000 0.318 0.500
Cr1 0.000 0.000 0.500
Te1 0.226 0.500 0.677
Te2 0.241 0.161 0.697
# Uncorrected formation energy in eV/atom: -0.275
# Magnetization in μB per formula unit: 6.30

=====

[5]
# Ce4BiSbN (GGA-PBE, relaxed)
data_Ce4BiSbN
_cell_length_a 6.772
_cell_length_b 16.539
_cell_length_c 6.774
_cell_angle_alpha 90.00
_cell_angle_beta 90.00
_cell_angle_gamma 90.00
_space_group_name_H-M_alt 'C m c m'
_space_group_IT_number 63
_space_group_name_Hall '-C 2c 2'
loop_
_atom_site_label
_atom_site_fract_x
_atom_site_fract_y
_atom_site_fract_z
Ce1 0.000 0.091 0.250
Ce2 0.000 0.404 0.250
Ce3 0.250 0.250 0.000
Bi1 0.000 0.396 0.750
Sb1 0.000 0.108 0.750
N1 0.000 0.247 0.250
# Uncorrected formation energy in eV/atom: -0.953
# Magnetization in μB per formula unit: 2.93

=====

[6]
# Sm3Ho5Er4 (GGA-PBE, relaxed)
data_Sm3Ho5Er4
_cell_length_a 15.908
_cell_length_b 5.864
_cell_length_c 9.219
_cell_angle_alpha 90.00
_cell_angle_beta 116.14
_cell_angle_gamma 90.00
_space_group_name_H-M_alt 'C 1 2/m 1'
_space_group_IT_number 12
_space_group_name_Hall '-C 2y'
loop_
_atom_site_label
_atom_site_fract_x
_atom_site_fract_y
_atom_site_fract_z
Sm1 0.000 0.000 0.000
Sm2 0.208 0.500 0.230
Ho1 0.000 0.500 0.000
Ho2 0.074 0.000 0.697
Ho3 0.173 0.000 0.388
Er1 0.081 0.500 0.441
Er2 0.210 0.500 0.877
# Relative energy among the computed polymorphs in meV per atom: 225
# Energy of formation from the pure elements in meV/atom: 244
# Magnetization in μB per formula unit: 0.28

=====

no.,calculated total energy (eV for the cell shown)
1,-115.92
2,-43.04
3,-51.26
4,-108.93
5,-186.95
6,-104.75